DFT (GGA-PBE) results for an optimized crystal structure of CaCd2Ag9.

Cell lengths 11.4775, 11.4775, 7.5053 Å; angles 90.00, 90.00, 90.00 degrees
Closest atoms and distances in Å follow each position.
Space group I4_1/amd (No. 141, origin choice 2)
Unique sites:
Ca 0.0000 0.2500 0.3750 (multiplicity 4)  18 Ag 3.55-3.75
Cd 0.0000 0.0000 0.0000 (multiplicity 8)  10 Ag 2.85-3.02
Ag 0.0000 0.2500 0.8750 (multiplicity 4)  4 Cd 3.02, 8 Ag 3.13
Ag 0.1212 0.0435 0.6752 (multiplicity 32)  5 Ag 2.78-2.90, 2 Cd 2.85

* spin magnetization: 0.000 μB/atom
* E: -2.52 eV/atom
* energy relative to the elements: -0.733 eV per formula unit
* offset from the most stable computed form: 0.0 meV per atom